# 1
This record from the Alexandria database describes crystalline K2BaAgF6 at its relaxed geometry. The functional is PBE-GGA.

Space-group type: P2_1/c

Cell: 6.3604 6.4313 9.8080 Å, 90.00 94.93 90.00°
With the nearest neighbours (Å) after each atom.
Sites, in units of the cell vectors:
F: 0.6809 0.2701 0.5641  1 Ag 2.15
F: 0.6320 0.0707 0.2485  1 Ba 2.55, 2 K 2.62-2.64, 1 Ag 2.71
F: 0.8680 0.5707 0.2515  1 Ba 2.55, 2 K 2.62-2.64, 1 Ag 2.71
F: 0.8191 0.7701 0.9359  1 Ag 2.15
K: 0.0234 0.9501 0.2395  5 F 2.62-2.84
F: 0.1809 0.2299 0.0641  1 Ag 2.15
Ag: 0.0000 0.5000 0.0000  4 F 2.15
F: 0.2611 0.6942 0.0732  1 Ag 2.15
F: 0.2389 0.1942 0.4268  1 Ag 2.15
Ag: 0.5000 0.0000 0.5000  4 F 2.15
F: 0.1320 0.4293 0.7485  1 Ba 2.55, 2 K 2.62-2.64, 1 Ag 2.71
F: 0.7611 0.8058 0.5732  1 Ag 2.15
Ba: 0.5000 0.0000 0.0000  6 F 2.55-2.63
K: 0.9766 0.0499 0.7605  5 F 2.62-2.84
Ba: 0.0000 0.5000 0.5000  6 F 2.55-2.63
F: 0.7389 0.3058 0.9268  1 Ag 2.15
F: 0.3191 0.7299 0.4359  1 Ag 2.15
K: 0.5234 0.5499 0.7395  5 F 2.62-2.84
K: 0.4766 0.4501 0.2605  5 F 2.62-2.84
F: 0.3680 0.9293 0.7515  1 Ba 2.55, 2 K 2.62-2.64, 1 Ag 2.71

=====

# 2
This record from the Alexandria database describes crystalline K2BaAgF at its relaxed geometry. The functional is PBE-GGA.

Space-group type: P4/mmm

Cell: 5.3501 5.3501 5.7686 Å, 90.00 90.00 90.00°
With the nearest neighbours (Å) after each atom.
Sites, in units of the cell vectors:
K: 0.5000 0.0000 0.0000  2 F 2.68
Ba: 0.0000 0.0000 0.5000  2 F 2.88
F: 0.0000 0.0000 0.0000  4 K 2.68, 2 Ba 2.88
Ag: 0.5000 0.5000 0.5000  4 Ba 3.78, 8 K 3.93
K: 0.0000 0.5000 0.0000  2 F 2.68

=====

# 3
This record from the Alexandria database describes crystalline K2BaAgF8 at its relaxed geometry. The functional is PBE-GGA.

Space-group type: P-1

Cell: 4.4336 6.1690 8.1231 Å, 91.15 88.50 97.70°
With the nearest neighbours (Å) after each atom.
Sites, in units of the cell vectors:
K: 0.5021 0.5068 0.2426  7 F 2.63-2.87
F: 0.4645 0.7536 0.5087  2 K 2.63, 2 Ba 2.64-2.72, 1 F 2.92
F: 0.0723 0.7827 0.2030  1 Ag 2.20
F: 0.9013 0.1902 0.1929  1 Ag 2.01
F: 0.5355 0.2464 0.4913  2 K 2.63, 2 Ba 2.64-2.72, 1 F 2.92
K: 0.4979 0.4932 0.7574  7 F 2.63-2.87
Ag: 0.0000 0.0000 0.0000  4 F 1.95-2.01
F: 0.6128 0.8077 0.0006  1 Ag 1.95
Ba: 0.0000 0.0000 0.5000  8 F 2.64-2.85
F: 0.3872 0.1923 0.9994  1 Ag 1.95
F: 0.0987 0.8098 0.8071  1 Ag 2.01
F: 0.9277 0.2173 0.7970  1 Ag 2.20

=====

Listing total magnetic moment for the structures above in their given order: 2.0; 0.0; 1.0 μB per cell.
Listing formation energy without anion corrections for the structures above in their given order: -2.57; -1.05; -2.28 eV/atom.
Listing density for the structures above in their given order: 3.6; 3.4; 3.6 g/cm3.